A | # ZnPd3Pt PBE relaxed
# Spin magnetization (μB per atom): 0.000
data_ZnPd3Pt
_space_group_name_H-M_alt 'C 1 2/c 1'
_space_group_IT_number 15
_cell_length_a 4.7602
_cell_length_b 13.9553
_cell_length_c 4.7966
_cell_angle_alpha 90.00
_cell_angle_beta 108.36
_cell_angle_gamma 90.00
loop_
_space_group_symop_operation_xyz
'x,y,z'
'-x,-y,-z'
'-x,y,-z+1/2'
'x,-y,z+1/2'
'x+1/2,y+1/2,z'
'-x+1/2,-y+1/2,-z'
'-x+1/2,y+1/2,-z+1/2'
'x+1/2,-y+1/2,z+1/2'
loop_
_atom_site_label
_atom_site_fract_x
_atom_site_fract_y
_atom_site_fract_z
Zn1 0.0000 0.1489 0.2500
Pd1 0.0000 0.0526 0.7500
Pd2 0.0000 0.2510 0.7500
Pd3 0.0000 0.4486 0.7500
Pt1 0.0000 0.3494 0.2500

***

B | # ZnPd3Pt PBE relaxed
# Spin magnetization (μB per atom): 0.000
data_ZnPd3Pt
_space_group_name_H-M_alt 'P 1 21/c 1'
_space_group_IT_number 14
_cell_length_a 7.1053
_cell_length_b 7.4199
_cell_length_c 6.4952
_cell_angle_alpha 90.00
_cell_angle_beta 114.80
_cell_angle_gamma 90.00
loop_
_space_group_symop_operation_xyz
'x,y,z'
'-x,-y,-z'
'-x,y+1/2,-z+1/2'
'x,-y+1/2,z+1/2'
loop_
_atom_site_label
_atom_site_fract_x
_atom_site_fract_y
_atom_site_fract_z
Zn1 0.2369 0.1560 0.0807
Pd1 0.0765 0.0363 0.3409
Pd2 0.3496 0.0077 0.7860
Pd3 0.4839 0.6756 0.9876
Pt1 0.1605 0.6980 0.5605

***

Bottom line: A, by a margin of 0.106 eV/atom.

***

A | # ZnPd3Pt PBE relaxed
# Spin magnetization (μB per atom): 0.000
data_ZnPd3Pt
_space_group_name_H-M_alt 'P m -3 m'
_space_group_IT_number 221
_space_group_name_Hall '-P 4 2 3'
_cell_length_a 4.9012
_cell_length_b 4.9012
_cell_length_c 4.9012
_cell_angle_alpha 90.00
_cell_angle_beta 90.00
_cell_angle_gamma 90.00
loop_
_atom_site_label
_atom_site_fract_x
_atom_site_fract_y
_atom_site_fract_z
Zn1 0.0000 0.0000 0.0000
Pd1 0.0000 0.5000 0.5000
Pt1 0.5000 0.5000 0.5000

***

B | # ZnPd3Pt PBE relaxed
# Spin magnetization (μB per atom): 0.000
data_ZnPd3Pt
_space_group_name_H-M_alt 'P m -3 m'
_space_group_IT_number 221
_space_group_name_Hall '-P 4 2 3'
_cell_length_a 4.5419
_cell_length_b 4.5419
_cell_length_c 4.5419
_cell_angle_alpha 90.00
_cell_angle_beta 90.00
_cell_angle_gamma 90.00
loop_
_atom_site_label
_atom_site_fract_x
_atom_site_fract_y
_atom_site_fract_z
Zn1 0.0000 0.0000 0.0000
Pd1 0.0000 0.0000 0.5000
Pt1 0.5000 0.5000 0.5000

***

Bottom line: B, by a margin of 0.260 eV/atom.

***

A | # ZnPdPt4 PBE relaxed
# Spin magnetization (μB per atom): 0.000
data_ZnPdPt4
_space_group_name_H-M_alt 'P -1'
_space_group_IT_number 2
_cell_length_a 4.8270
_cell_length_b 4.8475
_cell_length_c 8.3546
_cell_angle_alpha 90.27
_cell_angle_beta 106.78
_cell_angle_gamma 99.90
loop_
_space_group_symop_operation_xyz
'x,y,z'
'-x,-y,-z'
loop_
_atom_site_label
_atom_site_fract_x
_atom_site_fract_y
_atom_site_fract_z
Zn1 0.2497 0.1337 0.4554
Pd1 0.2499 0.6245 0.9575
Pt1 0.2384 0.1223 0.7820
Pt2 0.2482 0.6306 0.6230
Pt3 0.2519 0.1237 0.1278
Pt4 0.2613 0.6348 0.2973

***

B | # ZnPdPt4 PBE relaxed
# Spin magnetization (μB per atom): 0.000
data_ZnPdPt4
_space_group_name_H-M_alt 'C 1 2/m 1'
_space_group_IT_number 12
_cell_length_a 11.5206
_cell_length_b 7.2764
_cell_length_c 4.7507
_cell_angle_alpha 90.00
_cell_angle_beta 104.10
_cell_angle_gamma 90.00
loop_
_space_group_symop_operation_xyz
'x,y,z'
'-x,-y,-z'
'-x,y,-z'
'x,-y,z'
'x+1/2,y+1/2,z'
'-x+1/2,-y+1/2,-z'
'-x+1/2,y+1/2,-z'
'x+1/2,-y+1/2,z'
loop_
_atom_site_label
_atom_site_fract_x
_atom_site_fract_y
_atom_site_fract_z
Zn1 0.0690 0.0000 0.2559
Pd1 0.2003 0.5000 0.6178
Pt1 0.0000 0.2856 0.5000
Pt2 0.1260 0.3173 0.0718
Pt3 0.1637 0.0000 0.7960

***

Bottom line: A, by a margin of 0.148 eV/atom.

***

A | # Zn2Pd7Pt3 PBE relaxed
# Spin magnetization (μB per atom): 0.000
data_Zn2Pd7Pt3
_space_group_name_H-M_alt 'C m m m'
_space_group_IT_number 65
_space_group_name_Hall '-C 2 2'
_cell_length_a 3.9519
_cell_length_b 26.3628
_cell_length_c 3.8328
_cell_angle_alpha 90.00
_cell_angle_beta 90.00
_cell_angle_gamma 90.00
loop_
_atom_site_label
_atom_site_fract_x
_atom_site_fract_y
_atom_site_fract_z
Zn1 0.0000 0.1516 0.0000
Pd1 0.0000 0.0000 0.0000
Pd2 0.0000 0.0767 0.5000
Pd3 0.0000 0.2816 0.0000
Pd4 0.0000 0.4227 0.0000
Pt1 0.0000 0.3493 0.5000
Pt2 0.0000 0.5000 0.5000

***

B | # Zn2Pd7Pt3 PBE relaxed
# Spin magnetization (μB per atom): 0.000
data_Zn2Pd7Pt3
_space_group_name_H-M_alt 'P 1 2/m 1'
_space_group_IT_number 10
_cell_length_a 4.6060
_cell_length_b 2.7569
_cell_length_c 14.7347
_cell_angle_alpha 90.00
_cell_angle_beta 91.79
_cell_angle_gamma 90.00
loop_
_space_group_symop_operation_xyz
'x,y,z'
'-x,-y,-z'
'-x,y,-z'
'x,-y,z'
loop_
_atom_site_label
_atom_site_fract_x
_atom_site_fract_y
_atom_site_fract_z
Zn1 0.2058 0.0000 0.2963
Pd1 0.1786 0.5000 0.1507
Pd2 0.2458 0.0000 0.4612
Pd3 0.3167 0.0000 0.8107
Pd4 0.5000 0.5000 0.0000
Pt1 0.0000 0.0000 0.0000
Pt2 0.2746 0.5000 0.6371

***

Bottom line: B, by a margin of 0.040 eV/atom.